<one>
Computed, not measured: an optimized crystal structure of Pr4Dy3Sc at the GGA-PBE level of DFT.

```
data_Pr4Dy3Sc
_symmetry_space_group_name_H-M 'C 1 2/m 1'
_symmetry_Int_Tables_number 12
_cell_length_a 26.686
_cell_length_b 5.494
_cell_length_c 3.698
_cell_angle_alpha 90.00
_cell_angle_beta 97.94
_cell_angle_gamma 90.00
loop_
_symmetry_equiv_pos_as_xyz
'x,y,z'
'-x,-y,-z'
'-x,y,-z'
'x,-y,z'
'x+1/2,y+1/2,z'
'-x+1/2,-y+1/2,-z'
'-x+1/2,y+1/2,-z'
'x+1/2,-y+1/2,z'
loop_
_atom_site_label
_atom_site_type_symbol
_atom_site_fract_x
_atom_site_fract_y
_atom_site_fract_z
_atom_site_occupancy
Pr1 Pr 0.095 0.000 0.094 1
Pr2 Pr 0.219 0.000 0.221 1
Dy1 Dy 0.000 0.500 0.000 1
Dy2 Dy 0.138 0.500 0.638 1
Sc1 Sc 0.000 0.000 0.500 1
```

Results
**N(E_F)**: 25.04 states/eV per cell
**Total magnetic moment**: 0.00 μB/f.u.



<two>
Computed, not measured: an optimized crystal structure of Pr4Dy3Sc at the GGA-PBE level of DFT.

```
data_Pr4Dy3Sc
_symmetry_space_group_name_H-M 'C 1 2/m 1'
_symmetry_Int_Tables_number 12
_cell_length_a 23.226
_cell_length_b 3.618
_cell_length_c 6.239
_cell_angle_alpha 90.00
_cell_angle_beta 94.94
_cell_angle_gamma 90.00
loop_
_symmetry_equiv_pos_as_xyz
'x,y,z'
'-x,-y,-z'
'-x,y,-z'
'x,-y,z'
'x+1/2,y+1/2,z'
'-x+1/2,-y+1/2,-z'
'-x+1/2,y+1/2,-z'
'x+1/2,-y+1/2,z'
loop_
_atom_site_label
_atom_site_type_symbol
_atom_site_fract_x
_atom_site_fract_y
_atom_site_fract_z
_atom_site_occupancy
Pr1 Pr 0.121 0.000 0.377 1
Pr2 Pr 0.125 0.500 0.873 1
Dy1 Dy 0.000 0.000 0.000 1
Dy2 Dy 0.249 0.500 0.251 1
Sc1 Sc 0.000 0.500 0.500 1
```

Results
**N(E_F)**: 20.17 states/eV per cell
**Total magnetic moment**: 0.00 μB/f.u.



Which of them is the least stable? Correct choice: <one>.



<one>
Computed, not measured: an optimized crystal structure of PrDy3Sc2 at the GGA-PBE level of DFT.

```
data_PrDy3Sc2
_symmetry_space_group_name_H-M 'I m m a'
_symmetry_Int_Tables_number 74
_symmetry_space_group_name_Hall '-I 2b 2'
_cell_length_a 7.060
_cell_length_b 16.822
_cell_length_c 6.189
_cell_angle_alpha 90.00
_cell_angle_beta 90.00
_cell_angle_gamma 90.00
loop_
_atom_site_label
_atom_site_type_symbol
_atom_site_fract_x
_atom_site_fract_y
_atom_site_fract_z
_atom_site_occupancy
Pr1 Pr 0.000 0.250 0.001 1
Dy1 Dy 0.000 0.063 0.253 1
Dy2 Dy 0.000 0.250 0.502 1
Sc1 Sc 0.250 0.104 0.750 1
```

Results
**N(E_F)**: 34.60 states/eV per cell
**Total magnetic moment**: 0.00 μB/f.u.



<two>
Computed, not measured: an optimized crystal structure of PrDy3Sc2 at the GGA-PBE level of DFT.

```
data_PrDy3Sc2
_symmetry_space_group_name_H-M 'C 1 2/m 1'
_symmetry_Int_Tables_number 12
_cell_length_a 22.728
_cell_length_b 3.406
_cell_length_c 9.942
_cell_angle_alpha 90.00
_cell_angle_beta 107.99
_cell_angle_gamma 90.00
loop_
_symmetry_equiv_pos_as_xyz
'x,y,z'
'-x,-y,-z'
'-x,y,-z'
'x,-y,z'
'x+1/2,y+1/2,z'
'-x+1/2,-y+1/2,-z'
'-x+1/2,y+1/2,-z'
'x+1/2,-y+1/2,z'
loop_
_atom_site_label
_atom_site_type_symbol
_atom_site_fract_x
_atom_site_fract_y
_atom_site_fract_z
_atom_site_occupancy
Pr1 Pr 0.181 0.000 0.046 1
Dy1 Dy 0.060 0.000 0.438 1
Dy2 Dy 0.066 0.500 0.768 1
Dy3 Dy 0.197 0.000 0.708 1
Sc1 Sc 0.069 0.500 0.143 1
Sc2 Sc 0.192 0.000 0.375 1
```

Results
**N(E_F)**: 39.41 states/eV per cell
**Total magnetic moment**: 0.00 μB/f.u.



Which of them is the least stable? Correct choice: <one>.